Here is a relaxed structure of RhWSe2 from Alexandria. Energies are from PBE-GGA.

Unit cell a=6.205 b=8.261 c=2.742 alpha=90.00 beta=90.18 gamma=90.00
Space group C2/m (No. 12)
Asymmetric unit:
Rh1 0.000 0.000 0.000
W1 0.000 0.500 0.000
Se1 0.250 0.250 0.000

Computed properties:
uncorrected formation energy: 463 meV/atom
ΔE to the lowest computed polymorph: 0.681 eV per atom
E: -6.355 eV/atom
calculated volume: 17.6 Å³/atom